No. 1
This record from the Alexandria database describes a relaxed structure of Be2BrCl. The functional is PBE-GGA.

a = 9.5586 Å, b = 8.2162 Å, c = 3.2961 Å
α = 90.00°, β = 109.78°, γ = 90.00°
Last column: nearest neighbours and their distance in Å.
Space group Cm (No. 8)
Inequivalent atoms, fractional coordinates:
Be  0.0000  0.0000  0.0000 (multiplicity 2)  2 Cl 2.05, 1 Be 2.08
Be  0.2310  0.0000  0.2279 (multiplicity 2)  1 Be 2.08, 2 Br 2.17
Br  0.3883  0.0000  0.8821 (multiplicity 2)  2 Be 2.17
Cl  0.3639  0.5000  0.3667 (multiplicity 2)  2 Be 2.05

* E_form (uncorrected): -0.39 eV per atom
* energy above the lowest structure with this stoichiometry: 0 meV/atom
* total moment: 0.00 μB/atom


No. 2
This record from the Alexandria database describes a relaxed structure of Be2BrCl. The functional is PBE-GGA.

a = 3.2995 Å, b = 3.4500 Å, c = 6.4314 Å
α = 90.00°, β = 90.00°, γ = 90.00°
Last column: nearest neighbours and their distance in Å.
Space group Pmmm (No. 47)
Inequivalent atoms, fractional coordinates:
Be  0.0000  0.0000  0.0000 (multiplicity 1)  4 Cl 2.39
Be  0.5000  0.0000  0.5000 (multiplicity 1)  4 Br 2.39
Br  0.0000  0.5000  0.5000 (multiplicity 1)  4 Be 2.39
Cl  0.5000  0.5000  0.0000 (multiplicity 1)  4 Be 2.39

* E_form (uncorrected): 0.46 eV per atom
* energy above the lowest structure with this stoichiometry: 846 meV/atom
* total moment: 0.00 μB/atom


No. 3
This record from the Alexandria database describes a relaxed structure of BeBrCl2. The functional is PBE-GGA.

a = 3.0473 Å, b = 3.0473 Å, c = 9.6488 Å
α = 90.00°, β = 90.00°, γ = 90.00°
Last column: nearest neighbours and their distance in Å.
Space group P4mm (No. 99)
Inequivalent atoms, fractional coordinates:
Be  0.0000  0.0000  0.0000 (multiplicity 1)  4 Cl 2.52, 4 Br 2.74
Br  0.5000  0.5000  0.1749 (multiplicity 1)  4 Be 2.74, 1 Cl 3.00, 4 Br 3.05
Cl  0.0000  0.0000  0.5242 (multiplicity 1)  4 Cl 3.05
Cl  0.5000  0.5000  0.8641 (multiplicity 1)  4 Be 2.52

* E_form (uncorrected): 0.09 eV per atom
* energy above the lowest structure with this stoichiometry: 878 meV/atom
* total moment: 0.11 μB/atom


No. 4
This record from the Alexandria database describes a relaxed structure of BeBrCl2. The functional is PBE-GGA.

a = 3.2044 Å, b = 3.2044 Å, c = 34.3014 Å
α = 90.00°, β = 90.00°, γ = 120.00°
Last column: nearest neighbours and their distance in Å.
Space group R-3m (No. 166, hexagonal axes)
Inequivalent atoms, fractional coordinates:
Be  0.0000  0.0000  0.0000 (multiplicity 3)  6 Cl 2.24
Br  0.0000  0.0000  0.5000 (multiplicity 3)  6 Br 3.20
Cl  0.0000  0.0000  0.3703 (multiplicity 6)  3 Be 2.24

* E_form (uncorrected): -0.73 eV per atom
* energy above the lowest structure with this stoichiometry: 59 meV/atom
* total moment: 0.00 μB/atom


No. 5
This record from the Alexandria database describes a relaxed structure of Be2BrCl. The functional is PBE-GGA.

a = 10.0875 Å, b = 3.0691 Å, c = 6.6175 Å
α = 90.00°, β = 128.98°, γ = 90.00°
Last column: nearest neighbours and their distance in Å.
Space group C2/m (No. 12)
Inequivalent atoms, fractional coordinates:
Be  0.1322  0.0000  0.3908 (multiplicity 4)  2 Be 2.40, 2 Cl 2.42, 2 Br 2.55
Br  0.0000  0.5000  0.0000 (multiplicity 2)  4 Be 2.55
Cl  0.0000  0.5000  0.5000 (multiplicity 2)  4 Be 2.42

* E_form (uncorrected): 0.07 eV per atom
* energy above the lowest structure with this stoichiometry: 463 meV/atom
* total moment: 0.00 μB/atom


No. 6
This record from the Alexandria database describes a relaxed structure of BeBr4Cl. The functional is PBE-GGA.

a = 8.6327 Å, b = 8.6327 Å, c = 8.6327 Å
α = 90.00°, β = 90.00°, γ = 90.00°
Last column: nearest neighbours and their distance in Å.
Space group F-43m (No. 216)
Inequivalent atoms, fractional coordinates:
Be  0.0000  0.0000  0.0000 (multiplicity 4)  12 Br 3.58, 4 Cl 3.74
Br  0.1250  0.1250  0.6250 (multiplicity 16)  6 Br 3.05
Cl  0.2500  0.2500  0.2500 (multiplicity 4)  12 Br 3.58, 4 Be 3.74

* E_form (uncorrected): 0.92 eV per atom
* total moment: 0.13 μB/atom


Repeat the third record exactly.
This record from the Alexandria database describes a relaxed structure of BeBrCl2. The functional is PBE-GGA.

a = 3.0473 Å, b = 3.0473 Å, c = 9.6488 Å
α = 90.00°, β = 90.00°, γ = 90.00°
Last column: nearest neighbours and their distance in Å.
Space group P4mm (No. 99)
Inequivalent atoms, fractional coordinates:
Be  0.0000  0.0000  0.0000 (multiplicity 1)  4 Cl 2.52, 4 Br 2.74
Br  0.5000  0.5000  0.1749 (multiplicity 1)  4 Be 2.74, 1 Cl 3.00, 4 Br 3.05
Cl  0.0000  0.0000  0.5242 (multiplicity 1)  4 Cl 3.05
Cl  0.5000  0.5000  0.8641 (multiplicity 1)  4 Be 2.52

* E_form (uncorrected): 0.09 eV per atom
* energy above the lowest structure with this stoichiometry: 878 meV/atom
* total moment: 0.11 μB/atom


The highest E_form (uncorrected) belongs to which entry? BeBr4Cl


Which of these has the lowest E_form (uncorrected)? number 4


The highest total moment belongs to which entry? BeBr4Cl